Below is crystalline ErNpGa6 at its relaxed geometry, with properties calculated at the PBE level.

Cell: 4.2504 4.2504 8.5205 Å, 90.00 90.00 90.00°
Element x y z (fractional)
Ga 0.5000 0.0000 0.7509
Ga 0.0000 0.5000 0.2491
Np 0.0000 0.0000 0.0000
Ga 0.5000 0.0000 0.2491
Er 0.0000 0.0000 0.5000
Ga 0.0000 0.5000 0.7509
Ga 0.5000 0.5000 0.5000
Ga 0.5000 0.5000 0.0000

## Properties
The space group is P4/mmm, No. 123. For the total moment, the calculation gives 3.793 μB/cell. The volume comes out at 153.93 Å³ per cell. The total energy comes out at -38.6 eV per cell. The energy relative to the elements comes out at -0.370 eV/atom.